4
Lattice="-2.3604 -2.4572 0.2517 1.0565 -0.6896 3.1751 -5.2976 5.3893 2.9332" Properties=species:S:1:pos:R:3 comment="BaTa2Ir | Alexandria | PBE | relaxed" dos_ef_per_ev_cell=4.8 ef_ev_per_atom=0.41 energy_ev_per_atom=-8.210 m_tot_mub_per_atom=0.00 pbc="T T T"
Ba -1.9764 -0.2261 2.4467
Ir -4.6252 2.4685 3.9133
Ta -4.8140 4.8972 2.6654
Ta -3.1325 3.1867 1.7344